# 1
! CrGa2FeSe, optimized geometry, DFT PBE-GGA; values from VASP
! **Crystal system**: tetragonal
! **Total DFT energy (no corrections)**: -4.199 eV per atom
! **DOS at the Fermi energy**: 11.99 states/eV per cell
&SYSTEM
  ibrav = 0, nat = 5, ntyp = 4
/
ATOMIC_SPECIES
Cr 52.00 Cr.upf
Ga 69.72 Ga.upf
Se 78.96 Se.upf
Fe 55.84 Fe.upf
ATOMIC_POSITIONS crystal
Cr 0.500 0.500 0.500
Ga 0.000 0.000 0.500
Ga 0.500 0.000 0.000
Se 0.000 0.000 0.000
Fe 0.000 0.500 0.000
CELL_PARAMETERS angstrom
4.947 0.000 0.000
0.000 4.286 0.000
0.000 0.000 4.947

# 2
! GeBiPd, optimized geometry, DFT PBE-GGA; values from VASP
! **Crystal system**: monoclinic
! **ΔE to the lowest computed polymorph**: 0.000 eV per atom
! **Formation enthalpy at 0 K**: -0.217 eV/atom
! **Total DFT energy (no corrections)**: -4.781 eV per atom
! **DOS at the Fermi energy**: 4.95 states/eV per cell
&SYSTEM
  ibrav = 0, nat = 12, ntyp = 3
/
ATOMIC_SPECIES
Ge 72.64 Ge.upf
Bi 208.98 Bi.upf
Pd 106.42 Pd.upf
ATOMIC_POSITIONS crystal
Ge 0.551 0.000 0.368
Ge 0.449 0.000 0.632
Ge 0.551 0.500 0.868
Ge 0.449 0.500 0.132
Bi 0.862 0.000 0.132
Bi 0.138 0.000 0.868
Bi 0.862 0.500 0.632
Bi 0.138 0.500 0.368
Pd 0.264 0.000 0.186
Pd 0.736 0.000 0.814
Pd 0.264 0.500 0.686
Pd 0.736 0.500 0.314
CELL_PARAMETERS angstrom
-0.815 -6.236 4.310
4.065 -0.276 0.369
-0.196 5.955 6.613

# 3
! Sb2RhIBr, optimized geometry, DFT PBE-GGA; values from VASP
! **Crystal system**: tetragonal
! **ΔE to the lowest computed polymorph**: 0.000 eV per atom
! **Total DFT energy (no corrections)**: -3.577 eV per atom
! **DOS at the Fermi energy**: 3.78 states/eV per cell
&SYSTEM
  ibrav = 0, nat = 5, ntyp = 4
/
ATOMIC_SPECIES
I 126.90 I.upf
Sb 121.76 Sb.upf
Rh 102.91 Rh.upf
Br 79.90 Br.upf
ATOMIC_POSITIONS crystal
I 0.000 0.000 0.500
Sb 0.000 0.500 0.000
Sb 0.500 0.000 0.000
Rh 0.000 0.000 0.000
Br 0.500 0.500 0.500
CELL_PARAMETERS angstrom
-0.263 0.943 5.084
1.864 -4.731 0.974
5.139 2.003 -0.105

# 4
! LiMgGeSb2, optimized geometry, DFT PBE-GGA; values from VASP
! **Crystal system**: tetragonal
! **Total DFT energy (no corrections)**: -2.966 eV per atom
! **DOS at the Fermi energy**: 3.19 states/eV per cell
&SYSTEM
  ibrav = 0, nat = 5, ntyp = 4
/
ATOMIC_SPECIES
Sb 121.76 Sb.upf
Ge 72.64 Ge.upf
Mg 24.30 Mg.upf
Li 6.94 Li.upf
ATOMIC_POSITIONS crystal
Sb 0.000 0.000 0.500
Sb 0.500 0.000 0.000
Ge 0.000 0.000 0.000
Mg 0.000 0.500 0.000
Li 0.500 0.500 0.500
CELL_PARAMETERS angstrom
5.558 0.000 0.000
0.000 4.889 0.000
0.000 0.000 5.558